Record 1
Computed, not measured: crystalline SiMo4PbC2 at its relaxed geometry at the GGA-PBE level of DFT.

Properties
DFT total energy   -8.840 eV/atom

a = 3.2008 Å, b = 3.2008 Å, c = 12.9291 Å
α = 90.00°, β = 90.00°, γ = 120.00°
Space group P-6m2 (No. 187)
One atom of each set of equivalent atoms:
Si  0.0000  0.0000  0.0000
Mo  0.0000  0.0000  0.3096
Mo  0.3333  0.6667  0.1383
Pb  0.3333  0.6667  0.5000
C  0.6667  0.3333  0.2328

Record 2
Computed, not measured: crystalline Ta2Mo4Pb3C3 at its relaxed geometry at the GGA-PBE level of DFT.

Properties
DFT total energy   -8.734 eV/atom

a = 9.7911 Å, b = 5.6364 Å, c = 14.2962 Å
α = 90.00°, β = 103.25°, γ = 90.00°
Space group C2/c (No. 15)
One atom of each set of equivalent atoms:
Ta  0.0602  0.0867  0.4210
Mo  0.1097  0.4266  0.5773
Mo  0.2194  0.4119  0.9229
Pb  0.0000  0.4217  0.2500
Pb  0.1691  0.0876  0.7488
C  0.0821  0.2469  0.0000
C  0.2500  0.2500  0.5000

Record 3
Computed, not measured: crystalline TlMo4PbC2 at its relaxed geometry at the GGA-PBE level of DFT.

Properties
DFT total energy   -8.291 eV/atom

a = 3.2036 Å, b = 3.2036 Å, c = 13.9613 Å
α = 90.00°, β = 90.00°, γ = 120.00°
Space group P-6m2 (No. 187)
One atom of each set of equivalent atoms:
Tl  0.0000  0.0000  0.0000
Mo  0.0000  0.0000  0.3272
Mo  0.6667  0.3333  0.1725
Pb  0.6667  0.3333  0.5000
C  0.3333  0.6667  0.2502

Record 4
Computed, not measured: crystalline Mo2Pb3W4C3 at its relaxed geometry at the GGA-PBE level of DFT.

Properties
DFT total energy   -8.961 eV/atom

a = 9.7688 Å, b = 5.6159 Å, c = 14.1154 Å
α = 90.00°, β = 102.44°, γ = 90.00°
Space group C2/c (No. 15)
One atom of each set of equivalent atoms:
Mo  0.0500  0.0793  0.4191
Pb  0.0000  0.4205  0.2500
Pb  0.1685  0.0844  0.7512
W  0.1061  0.4051  0.5756
W  0.2326  0.4240  0.9246
C  0.0860  0.2564  0.9993
C  0.2500  0.2500  0.5000

Record 5
Computed, not measured: crystalline Y4Mo2Pb3C3 at its relaxed geometry at the GGA-PBE level of DFT.

Properties
DFT total energy   -7.520 eV/atom

a = 10.3621 Å, b = 6.0585 Å, c = 15.4836 Å
α = 90.00°, β = 102.44°, γ = 90.00°
Space group C2/c (No. 15)
One atom of each set of equivalent atoms:
Y  0.1126  0.0733  0.0896
Y  0.2155  0.0885  0.4103
Mo  0.0702  0.4092  0.9339
Pb  0.0000  0.1246  0.7500
Pb  0.1523  0.4302  0.2488
C  0.0736  0.2786  0.5000
C  0.2500  0.2500  0.0000

Record 6
Computed, not measured: crystalline Zr4Mo2Pb3C3 at its relaxed geometry at the GGA-PBE level of DFT.

Properties
DFT total energy   -8.253 eV/atom

a = 10.1096 Å, b = 5.8448 Å, c = 14.8215 Å
α = 90.00°, β = 103.13°, γ = 90.00°
Space group C2/c (No. 15)
One atom of each set of equivalent atoms:
Zr  0.1113  0.0801  0.0844
Zr  0.2202  0.0848  0.4157
Mo  0.0637  0.4129  0.9312
Pb  0.0000  0.1015  0.7500
Pb  0.1592  0.4244  0.2494
C  0.0813  0.2565  0.5000
C  0.2500  0.2500  0.0000